Density functional theory data (PBE) for an optimized crystal structure of Ti5Te4.

The density of states at the Fermi level is 7.189 states/eV/f.u. The value obtained for the spin magnetization is 0.0 μB per formula unit. The value obtained for the raw formation energy is -688.1 meV per atom.

The space group is I4/m (No. 87) and the conventional cell measures 10.222, 10.222 and 3.725 Å, with angles of 90.00, 90.00 and 90.00 degrees. The inequivalent atoms are Ti at (0.000, 0.000, 0.000), Ti at (0.123, 0.814, 0.500) and Te at (0.058, 0.280, 0.000).